No. 1
A plane-wave DFT calculation with PBE was carried out for crystalline Ca5Mg2Bi4 at its relaxed geometry.

It has space group C2/m (No. 12), with a = 16.317 Å, b = 5.124 Å, c = 9.114 Å, α = 90.00°, β = 91.99° and γ = 90.00°. The asymmetric unit holds Ca at (0.000, 0.000, 0.000), Ca at (0.141, 0.500, 0.516), Ca at (0.162, 0.500, 0.940), Mg at (0.024, 0.000, 0.651), Bi at (0.032, 0.500, 0.216) and Bi at (0.208, 0.000, 0.743).

The energy relative to the elements comes out at -0.5551 eV per atom. Its density of states at the Fermi level is 0.95 states/eV/f.u. The calculation puts the mass density at 4.732 Mg/m³.

No. 2
A plane-wave DFT calculation with PBE was carried out for crystalline NaH2AuI at its relaxed geometry.

It has space group P4/mmm (No. 123), with a = 4.059 Å, b = 4.059 Å, c = 8.338 Å, α = 90.00°, β = 90.00° and γ = 90.00°. The asymmetric unit holds Na at (0.000, 0.000, 0.000), H at (0.000, 0.500, 0.500), Au at (0.500, 0.500, 0.000) and I at (0.500, 0.500, 0.500).

The calculation puts the uncorrected energy at -2.225 eV/atom. Its density of states at the Fermi level is 0.54 states/eV/f.u. The calculation puts the mass density at 4.216 Mg/m³.

No. 3
A plane-wave DFT calculation with PBE was carried out for crystalline Sc2TaPb at its relaxed geometry.

It has space group Cmm2 (No. 35), with a = 4.171 Å, b = 4.658 Å, c = 9.392 Å, α = 90.00°, β = 90.00° and γ = 90.00°. The asymmetric unit holds Sc at (0.000, 0.000, 0.000), Sc at (0.000, 0.500, 0.270), Ta at (0.000, 0.000, 0.500) and Pb at (0.000, 0.500, 0.743).

The energy relative to the elements comes out at 0.1553 eV per atom. Its density of states at the Fermi level is 3.67 states/eV/f.u. The calculation puts the mass density at 8.700 Mg/m³.

No. 4
A plane-wave DFT calculation with PBE was carried out for crystalline K12Ag2Au5 at its relaxed geometry.

It has space group C2/m (No. 12), with a = 17.557 Å, b = 8.386 Å, c = 10.864 Å, α = 90.00°, β = 95.80° and γ = 90.00°. The asymmetric unit holds K at (0.028, 0.000, 0.286), K at (0.039, 0.500, 0.823), K at (0.143, 0.242, 0.576), K at (0.191, 0.257, 0.132), Ag at (0.000, 0.167, 0.000), Au at (0.000, 0.500, 0.500), Au at (0.134, 0.000, 0.896) and Au at (0.217, 0.000, 0.372).

The energy relative to the elements comes out at -0.1190 eV per atom. Its density of states at the Fermi level is 9.88 states/eV/f.u. The calculation puts the mass density at 3.485 Mg/m³.

No. 5
A plane-wave DFT calculation with PBE was carried out for crystalline TeIr at its relaxed geometry.

It has space group F-43m (No. 216), with a = 5.924 Å, b = 5.924 Å, c = 5.924 Å, α = 90.00°, β = 90.00° and γ = 90.00°. The asymmetric unit holds Te at (0.000, 0.000, 0.000) and Ir at (0.250, 0.250, 0.250).

The energy relative to the elements, uncorrected is 253.2 meV per atom. Its density of states at the Fermi level is 1.71 states/eV/f.u. The calculation puts the mass density at 10.219 Mg/m³.

No. 6
A plane-wave DFT calculation with PBE was carried out for crystalline Ca2AgAu4 at its relaxed geometry.

It has space group Fmmm (No. 69), with a = 5.508 Å, b = 9.358 Å, c = 15.387 Å, α = 90.00°, β = 90.00° and γ = 90.00°. The asymmetric unit holds Ca at (0.000, 0.000, 0.117), Ag at (0.000, 0.000, 0.500), Au at (0.000, 0.000, 0.307) and Au at (0.250, 0.250, 0.000).

The energy relative to the elements comes out at -0.3312 eV per atom. Its density of states at the Fermi level is 1.69 states/eV/f.u. The calculation puts the mass density at 8.173 Mg/m³.